Here is an optimized crystal structure of Mn6Cd4F19 from Alexandria via LeMat-Bulk. Energies are from PBE+U.

a b c (Å): 8.2412 8.2412 8.2412
angles (deg): 109.47 109.47 109.47
Last column: nearest neighbours and their distance in Å.
Sites, in units of the cell vectors:
1 Mn 0.3283 0.5000 0.8283  6 F 2.12-2.17
2 Mn 0.6717 0.5000 0.1717  6 F 2.12-2.17
3 Mn 0.1717 0.6717 0.5000  6 F 2.12-2.17
4 Mn 0.8283 0.3283 0.5000  6 F 2.12-2.17
5 Mn 0.5000 0.8283 0.3283  6 F 2.12-2.17
6 Mn 0.5000 0.1717 0.6717  6 F 2.12-2.17
7 Cd 0.0000 0.0000 0.7134  4 F 2.27-2.36
8 Cd 0.0000 0.7134 0.0000  4 F 2.27-2.36
9 Cd 0.2866 0.2866 0.2866  4 F 2.27-2.36
10 Cd 0.7134 0.0000 0.0000  4 F 2.27-2.36
11 F 0.6508 0.0000 0.6508  2 Mn 2.17
12 F 0.3492 0.0000 0.3492  2 Mn 2.17
13 F 0.3492 0.3492 0.0000  2 Mn 2.17
14 F 0.6508 0.6508 0.0000  2 Mn 2.17
15 F 0.0000 0.6508 0.6508  2 Mn 2.17
16 F 0.0000 0.3492 0.3492  2 Mn 2.17
17 F 0.0000 0.0000 0.0000  4 Cd 2.36
18 F 0.3608 0.3330 0.5948  2 Mn 2.12-2.14, 1 Cd 2.27
19 F 0.6392 0.2340 0.9723  2 Mn 2.12-2.14, 1 Cd 2.27
20 F 0.7382 0.7660 0.4052  2 Mn 2.12-2.14, 1 Cd 2.27
21 F 0.9723 0.6392 0.2340  2 Mn 2.12-2.14, 1 Cd 2.27
22 F 0.2618 0.6670 0.0277  2 Mn 2.12-2.14, 1 Cd 2.27
23 F 0.5948 0.3608 0.3330  2 Mn 2.12-2.14, 1 Cd 2.27
24 F 0.0277 0.2618 0.6670  2 Mn 2.12-2.14, 1 Cd 2.27
25 F 0.4052 0.7382 0.7660  2 Mn 2.12-2.14, 1 Cd 2.27
26 F 0.6670 0.0277 0.2618  2 Mn 2.12-2.14, 1 Cd 2.27
27 F 0.2340 0.9723 0.6392  2 Mn 2.12-2.14, 1 Cd 2.27
28 F 0.3330 0.5948 0.3608  2 Mn 2.12-2.14, 1 Cd 2.27
29 F 0.7660 0.4052 0.7382  2 Mn 2.12-2.14, 1 Cd 2.27

Values from the calculation:
Uncorrected energy, eV per atom: -5.27